[1]
Below is SiP after structural relaxation, with properties calculated at the PBEsol level.

Cell lengths 3.569, 3.982, 4.652 Å; angles 90.00, 90.00, 90.00 degrees
Sites, in units of the cell vectors:
P 0.000 0.454 0.750
P 0.000 0.546 0.250
Si 0.500 0.090 0.750
Si 0.500 0.910 0.250

The volume comes out at 16.529 Å³/atom. The value obtained for the theoretical density is 2.97 Mg/m³. The density of states at the Fermi level is 0.233 states/eV/atom. Its space group is Pmma (51). As for the uncorrected formation energy: -0.01 eV/atom. The raw total energy comes out at -5.782 eV per atom.

[2]
Below is Ta4CdSb after structural relaxation, with properties calculated at the PBEsol level.

Cell lengths 5.506, 5.506, 5.506 Å; angles 60.00, 60.00, 60.00 degrees
Sites, in units of the cell vectors:
Cd 0.750 0.750 0.750
Sb 0.000 0.000 0.000
Ta 0.376 0.376 0.376
Ta 0.376 0.376 0.872
Ta 0.872 0.376 0.376
Ta 0.376 0.872 0.376

The volume comes out at 19.673 Å³/atom. The value obtained for the theoretical density is 13.48 Mg/m³. The density of states at the Fermi level is 0.975 states/eV/atom. Its space group is F-43m (216). As for the uncorrected formation energy: 0.46 eV/atom. The raw total energy comes out at -8.865 eV per atom.

[3]
Below is ReTe3 after structural relaxation, with properties calculated at the PBEsol level.

Cell lengths 3.223, 9.154, 9.154 Å; angles 120.00, 90.00, 90.00 degrees
Sites, in units of the cell vectors:
Re 0.750 0.667 0.333
Re 0.250 0.333 0.667
Te 0.750 0.200 0.800
Te 0.750 0.600 0.800
Te 0.750 0.200 0.400
Te 0.250 0.800 0.200
Te 0.250 0.400 0.200
Te 0.250 0.800 0.600

The volume comes out at 29.237 Å³/atom. The value obtained for the theoretical density is 8.08 Mg/m³. The density of states at the Fermi level is 0.730 states/eV/atom. Its space group is P6_3/mmc (194). The value obtained for the energy above the most stable polymorph in this dataset is 0.0000 eV per atom. As for the uncorrected formation energy: 0.26 eV/atom. The raw total energy comes out at -5.714 eV per atom.

[4]
Below is LiNiOF after structural relaxation, with properties calculated at the PBEsol level.

Cell lengths 2.837, 2.837, 12.601 Å; angles 90.00, 90.00, 90.00 degrees
Sites, in units of the cell vectors:
Li 0.500 0.500 0.661
Li 0.500 0.500 0.339
Li 0.000 0.000 0.500
Ni 0.000 0.000 0.835
Ni 0.500 0.500 0.000
Ni 0.000 0.000 0.165
O 0.500 0.500 0.833
O 0.000 0.000 0.000
O 0.500 0.500 0.167
F 0.000 0.000 0.657
F 0.000 0.000 0.343
F 0.500 0.500 0.500

The volume comes out at 8.449 Å³/atom. The value obtained for the theoretical density is 4.94 Mg/m³. The density of states at the Fermi level is 0.371 states/eV/atom. Its space group is P4/mmm (123). The value obtained for the energy above the most stable polymorph in this dataset is 0.0192 eV per atom. As for the uncorrected formation energy: -1.69 eV/atom. The raw total energy comes out at -5.517 eV per atom.

[5]
Below is K2TaNi after structural relaxation, with properties calculated at the PBEsol level.

Cell lengths 3.274, 3.274, 10.724 Å; angles 90.00, 90.00, 90.00 degrees
Sites, in units of the cell vectors:
K 0.000 0.000 0.932
K 0.500 0.500 0.337
Ni 0.000 0.000 0.574
Ta 0.500 0.500 0.657

The volume comes out at 28.729 Å³/atom. The value obtained for the theoretical density is 4.59 Mg/m³. The density of states at the Fermi level is 0.762 states/eV/atom. Its space group is P4mm (99). The value obtained for the energy of formation from the pure elements is 2.44 eV/f.u. The value obtained for the energy above the most stable polymorph in this dataset is 0.0000 eV per atom. The raw total energy comes out at -4.633 eV per atom.

[6]
Below is Cr2CuSb after structural relaxation, with properties calculated at the PBEsol level.

Cell lengths 3.024, 3.509, 5.513 Å; angles 90.00, 90.00, 90.00 degrees
Sites, in units of the cell vectors:
Cr 0.000 0.000 0.767
Cr 0.000 0.000 0.233
Cu 0.500 0.500 0.000
Sb 0.500 0.500 0.500

The volume comes out at 14.629 Å³/atom. The value obtained for the theoretical density is 8.21 Mg/m³. The density of states at the Fermi level is 1.088 states/eV/atom. Its space group is Pmmm (47). As for the uncorrected formation energy: 0.51 eV/atom. The raw total energy comes out at -6.838 eV per atom.

[7]
Below is Zn2CoRe after structural relaxation, with properties calculated at the PBEsol level.

Cell lengths 2.574, 2.574, 7.798 Å; angles 90.00, 90.00, 90.00 degrees
Sites, in units of the cell vectors:
Co 0.500 0.500 0.000
Re 0.500 0.500 0.500
Zn 0.000 0.000 0.771
Zn 0.000 0.000 0.229

The volume comes out at 12.918 Å³/atom. The value obtained for the theoretical density is 12.08 Mg/m³. The density of states at the Fermi level is 1.249 states/eV/atom. Its space group is P4/mmm (123). The value obtained for the energy of formation from the pure elements is 0.87 eV/f.u. The value obtained for the energy above the most stable polymorph in this dataset is 0.2241 eV per atom. The raw total energy comes out at -5.841 eV per atom.

[8]
Below is Na2AgW after structural relaxation, with properties calculated at the PBEsol level.

Cell lengths 4.951, 4.951, 4.951 Å; angles 60.00, 60.00, 60.00 degrees
Sites, in units of the cell vectors:
Na 0.250 0.250 0.250
Na 0.750 0.750 0.750
Ag 0.000 0.000 0.000
W 0.500 0.500 0.500

The volume comes out at 21.454 Å³/atom. The value obtained for the theoretical density is 6.53 Mg/m³. The density of states at the Fermi level is 0.496 states/eV/atom. Its space group is Fm-3m (225). The value obtained for the energy of formation from the pure elements is 6.14 eV/f.u. The raw total energy comes out at -3.444 eV per atom.

[9]
Below is ScZn2Ir after structural relaxation, with properties calculated at the PBEsol level.

Cell lengths 3.900, 3.900, 4.785 Å; angles 114.05, 114.05, 90.00 degrees
Sites, in units of the cell vectors:
Sc 0.500 0.500 0.000
Zn 0.750 0.250 0.500
Zn 0.250 0.750 0.500
Ir 0.000 0.000 0.000

The volume comes out at 14.870 Å³/atom. The value obtained for the theoretical density is 10.27 Mg/m³. The density of states at the Fermi level is 0.303 states/eV/atom. Its space group is I4/mmm (139). The value obtained for the energy of formation from the pure elements is -2.20 eV/f.u. The raw total energy comes out at -5.447 eV per atom.

[10]
Below is BaTl2Ag after structural relaxation, with properties calculated at the PBEsol level.

Cell lengths 5.380, 5.412, 5.412 Å; angles 60.36, 60.19, 60.19 degrees
Sites, in units of the cell vectors:
Tl 0.002 0.998 0.998
Tl 0.752 0.748 0.748
Ba 0.250 0.250 0.250
Ag 0.496 0.504 0.504

The volume comes out at 28.009 Å³/atom. The value obtained for the theoretical density is 9.69 Mg/m³. The density of states at the Fermi level is 0.382 states/eV/atom. Its space group is Imm2 (44). The value obtained for the energy of formation from the pure elements is -0.78 eV/f.u. The value obtained for the energy above the most stable polymorph in this dataset is 0.0503 eV per atom. The raw total energy comes out at -2.876 eV per atom.

[11]
Below is Mo2CO after structural relaxation, with properties calculated at the PBEsol level.

Cell lengths 4.806, 4.806, 5.488 Å; angles 115.97, 115.97, 90.00 degrees
Sites, in units of the cell vectors:
Mo 0.379 0.875 0.250
Mo 0.871 0.375 0.250
Mo 0.125 0.129 0.750
Mo 0.625 0.621 0.750
C 0.750 0.250 0.500
C 0.500 0.500 0.000
O 0.250 0.750 0.500
O 0.000 0.000 0.000

The volume comes out at 12.443 Å³/atom. The value obtained for the theoretical density is 7.34 Mg/m³. The density of states at the Fermi level is 1.120 states/eV/atom. Its space group is I-42d (122). The value obtained for the energy above the most stable polymorph in this dataset is 0.0000 eV per atom. As for the uncorrected formation energy: -0.08 eV/atom. The raw total energy comes out at -9.692 eV per atom.

[12]
Below is Be2AgRu after structural relaxation, with properties calculated at the PBEsol level.

Cell lengths 5.044, 5.044, 5.044 Å; angles 106.34, 106.34, 115.94 degrees
Sites, in units of the cell vectors:
Ru 0.750 0.250 0.500
Ru 0.500 0.500 0.000
Ag 0.250 0.750 0.500
Ag 0.000 0.000 0.000
Be 0.864 0.875 0.489
Be 0.386 0.375 0.511
Be 0.625 0.136 0.011
Be 0.125 0.614 0.989

The volume comes out at 12.231 Å³/atom. The value obtained for the theoretical density is 7.70 Mg/m³. The density of states at the Fermi level is 0.549 states/eV/atom. Its space group is I-42d (122). The value obtained for the energy of formation from the pure elements is 1.58 eV/f.u. The raw total energy comes out at -4.976 eV per atom.